Entry 1:
The following is a PBE calculation of a relaxed La2U2Se9 crystal, from Alexandria.

Properties
**SG**: Pmma, No. 51

a b c (Å): 10.919 5.583 10.517
angles (deg): 90.00 90.00 90.00
Atoms (fractional coordinates):
La  0.250  0.000  0.024
La  0.250  0.000  0.570
La  0.750  0.000  0.430
La  0.750  0.000  0.976
U  0.008  0.500  0.250
U  0.492  0.500  0.250
U  0.508  0.500  0.750
U  0.992  0.500  0.750
Se  0.000  0.252  0.500
Se  0.000  0.748  0.500
Se  0.050  0.000  0.809
Se  0.124  0.500  0.000
Se  0.250  0.252  0.286
Se  0.250  0.500  0.687
Se  0.250  0.748  0.286
Se  0.376  0.500  0.000
Se  0.450  0.000  0.809
Se  0.500  0.252  0.500
Se  0.500  0.748  0.500
Se  0.550  0.000  0.191
Se  0.624  0.500  0.000
Se  0.750  0.252  0.714
Se  0.750  0.500  0.313
Se  0.750  0.748  0.714
Se  0.876  0.500  0.000
Se  0.950  0.000  0.191



Entry 2:
The following is a PBE calculation of a relaxed La2USe4 crystal, from Alexandria.

Properties
**SG**: Cmcm, No. 63
**Energy above the lowest structure with this stoichiometry**: 0.068 eV per atom

a b c (Å): 7.434 7.434 14.042
angles (deg): 90.00 90.00 147.84
Atoms (fractional coordinates):
La  0.133  0.867  0.571
La  0.133  0.867  0.929
La  0.867  0.133  0.071
La  0.867  0.133  0.429
U  0.375  0.625  0.750
U  0.625  0.375  0.250
Se  0.020  0.980  0.750
Se  0.222  0.778  0.128
Se  0.222  0.778  0.372
Se  0.500  0.500  0.000
Se  0.500  0.500  0.500
Se  0.778  0.222  0.628
Se  0.778  0.222  0.872
Se  0.980  0.020  0.250



Entry 3:
The following is a PBE calculation of a relaxed La2U3Se8 crystal, from Alexandria.

Properties
**SG**: Cmmm, No. 65
**Energy above the lowest structure with this stoichiometry**: 0.000 eV per atom

a b c (Å): 8.754 8.754 4.969
angles (deg): 90.00 90.00 110.78
Atoms (fractional coordinates):
La  0.235  0.765  0.000
La  0.765  0.235  0.000
U  0.234  0.234  0.500
U  0.500  0.500  0.000
U  0.766  0.766  0.500
Se  0.121  0.879  0.500
Se  0.143  0.381  0.000
Se  0.381  0.143  0.000
Se  0.387  0.613  0.500
Se  0.613  0.387  0.500
Se  0.619  0.857  0.000
Se  0.857  0.619  0.000
Se  0.879  0.121  0.500



Entry 4:
The following is a PBE calculation of a relaxed LaUSe4 crystal, from Alexandria.

Properties
**SG**: C2/m, No. 12
**Energy above the lowest structure with this stoichiometry**: 0.026 eV per atom

a b c (Å): 4.856 4.856 7.036
angles (deg): 90.57 90.57 90.00
Atoms (fractional coordinates):
La  0.000  0.000  0.000
U  0.500  0.500  0.500
Se  0.000  0.497  0.733
Se  0.000  0.503  0.267
Se  0.497  0.000  0.733
Se  0.503  0.000  0.267



| no. | ρ (Mg/m³) | formation energy without anion corrections (eV/atom) | uncorrected energy (eV per atom) |
| --- | --- | --- | --- |
| 1 | 7.6 | -1.37 | -6.28 |
| 2 | 6.7 | -1.62 | -6.63 |
| 3 | 7.6 | -1.43 | -6.94 |
| 4 | 6.9 | -1.38 | -6.41 |